Record 1
The following is a DFT calculation (PBE) of HgPt after structural relaxation.

Final energy   -3.0646 eV/atom
Fermi-level density of states   0.89 states/eV/f.u.

Unit cell a=9.6361 b=9.6361 c=3.8928 alpha=90.00 beta=90.00 gamma=90.00
Space group I4/m (No. 87)
Unique sites:
Hg (0.1229, 0.1895, 0.0000) x8
Pt (0.0870, 0.6136, 0.0000) x8

Record 2
The following is a DFT calculation (PBE) of HgPt after structural relaxation.

Final energy   -3.0520 eV/atom
Fermi-level density of states   0.91 states/eV/f.u.

Unit cell a=3.0691 b=4.9881 c=4.8308 alpha=90.00 beta=90.00 gamma=90.00
Space group Pmmn (No. 59, origin choice 2)
Unique sites:
Hg (0.2500, 0.2500, 0.1062) x2
Pt (0.2500, 0.7500, 0.4015) x2

Record 3
The following is a DFT calculation (PBE) of Hg4Pt5 after structural relaxation.

Final energy   -3.4177 eV/atom
Fermi-level density of states   5.15 states/eV/f.u.

Unit cell a=8.7533 b=8.7533 c=4.2430 alpha=90.00 beta=90.00 gamma=90.00
Space group I4/mmm (No. 139)
Unique sites:
Hg (0.0000, 0.3190, 0.0000) x8
Pt (0.0000, 0.0000, 0.0000) x2
Pt (0.1641, 0.1641, 0.5000) x8

Record 4
The following is a DFT calculation (PBE) of Hg3Pt after structural relaxation.

Final energy   -1.5735 eV/atom
Fermi-level density of states   1.62 states/eV/f.u.

Unit cell a=5.8484 b=5.8484 c=5.6511 alpha=90.00 beta=90.00 gamma=120.00
Space group P6_3/mmc (No. 194)
Unique sites:
Hg (0.1680, 0.3360, 0.2500) x6
Pt (0.3333, 0.6667, 0.7500) x2

Record 5
The following is a DFT calculation (PBE) of HgPt after structural relaxation.

Final energy   -3.1328 eV/atom
Fermi-level density of states   0.72 states/eV/f.u.

Unit cell a=3.0430 b=3.0430 c=3.9222 alpha=90.00 beta=90.00 gamma=90.00
Space group P4/mmm (No. 123)
Unique sites:
Hg (0.0000, 0.0000, 0.0000) x1
Pt (0.5000, 0.5000, 0.5000) x1

Record 6
The following is a DFT calculation (PBE) of HgPt2 after structural relaxation.

Final energy   -4.0550 eV/atom
Fermi-level density of states   2.13 states/eV/f.u.

Unit cell a=11.0956 b=2.9017 c=6.7842 alpha=90.00 beta=107.22 gamma=90.00
Space group C2/m (No. 12)
Unique sites:
Hg (0.0245, 0.0000, 0.2911) x4
Pt (0.1493, 0.5000, 0.0317) x4
Pt (0.1960, 0.5000, 0.6348) x4

Record 7
The following is a DFT calculation (PBE) of Hg5Pt after structural relaxation.

Final energy   -0.8126 eV/atom
Fermi-level density of states   3.24 states/eV/f.u.

Unit cell a=5.4783 b=5.4783 c=5.8590 alpha=90.00 beta=90.00 gamma=120.00
Space group P6/mmm (No. 191)
Unique sites:
Hg (0.0000, 0.5000, 0.0000) x3
Hg (0.3333, 0.6667, 0.5000) x2
Pt (0.0000, 0.0000, 0.5000) x1

Record 8
The following is a DFT calculation (PBE) of HgPt after structural relaxation.

Final energy   -3.0794 eV/atom
Fermi-level density of states   0.86 states/eV/f.u.

Unit cell a=2.9649 b=4.8675 c=10.3622 alpha=90.00 beta=90.00 gamma=90.00
Space group Imma (No. 74)
Unique sites:
Hg (0.0000, 0.2500, 0.1095) x4
Pt (0.0000, 0.2500, 0.6362) x4

Record 9
The following is a DFT calculation (PBE) of Hg2Pt3 after structural relaxation.

Final energy   -3.6494 eV/atom
Fermi-level density of states   3.12 states/eV/f.u.

Unit cell a=2.9752 b=2.9752 c=34.5820 alpha=90.00 beta=90.00 gamma=120.00
Space group R-3m (No. 166, hexagonal axes)
Unique sites:
Hg (0.0000, 0.0000, 0.0988) x6
Pt (0.0000, 0.0000, 0.3013) x6
Pt (0.0000, 0.0000, 0.5000) x3

Record 10
The following is a DFT calculation (PBE) of Hg3Pt after structural relaxation.

Final energy   -1.6440 eV/atom
Fermi-level density of states   1.41 states/eV/f.u.

Unit cell a=3.7275 b=8.0353 c=6.0870 alpha=90.00 beta=90.00 gamma=90.00
Space group Imm2 (No. 44)
Unique sites:
Hg (0.0000, 0.0000, 0.0000) x2
Hg (0.0000, 0.2005, 0.5807) x4
Pt (0.0000, 0.5000, 0.8448) x2

Record 11
The following is a DFT calculation (PBE) of Hg2Pt3 after structural relaxation.

Final energy   -3.4345 eV/atom
Fermi-level density of states   2.04 states/eV/f.u.

Unit cell a=4.5188 b=4.5188 c=5.5985 alpha=90.00 beta=90.00 gamma=120.00
Space group P-3m1 (No. 164)
Unique sites:
Hg (0.3333, 0.6667, 0.3189) x2
Pt (0.0000, 0.0000, 0.5000) x1
Pt (0.3333, 0.6667, 0.8354) x2

Record 12
The following is a DFT calculation (PBE) of Hg3Pt after structural relaxation.

Final energy   -1.5637 eV/atom
Fermi-level density of states   2.77 states/eV/f.u.

Unit cell a=3.1955 b=3.1955 c=29.1596 alpha=90.00 beta=90.00 gamma=120.00
Space group R-3m (No. 166, hexagonal axes)
Unique sites:
Hg (0.0000, 0.0000, 0.0000) x3
Hg (0.0000, 0.0000, 0.2418) x6
Pt (0.0000, 0.0000, 0.5000) x3

Record 13
The following is a DFT calculation (PBE) of Hg3Pt after structural relaxation.

Final energy   -1.6048 eV/atom
Fermi-level density of states   1.19 states/eV/f.u.

Unit cell a=3.7515 b=4.3951 c=5.5954 alpha=90.00 beta=101.19 gamma=90.00
Space group P2/m (No. 10)
Unique sites:
Hg (0.0000, 0.0000, 0.0000) x1
Hg (0.3791, 0.5000, 0.7346) x2
Pt (0.0000, 0.0000, 0.5000) x1